## V3SnPb (PBE)

Data for a relaxed structure of V3SnPb.

Values from the calculation:
Formation energy from the elements in eV per atom: 1.2792
Density in g/cm3: 6.273
Size of the total moment in μB/f.u.: 7.2
Polymorph energy (0 for the lowest one) in eV/atom: 0.000
Crystal system: cubic

The structure in CIF format:
```
data_V3SnPb
_cell_length_a 5.023
_cell_length_b 5.023
_cell_length_c 5.023
_cell_angle_alpha 90.00
_cell_angle_beta 90.00
_cell_angle_gamma 90.00
_space_group_name_H-M_alt 'P 1'
_space_group_IT_number 1
loop_
_space_group_symop_operation_xyz
'x,y,z'
loop_
_atom_site_label
_atom_site_type_symbol
_atom_site_fract_x
_atom_site_fract_y
_atom_site_fract_z
V1 V 0.000 0.000 0.500
V2 V 0.000 0.500 0.000
V3 V 0.500 0.000 0.000
Sn1 Sn 0.000 0.000 0.000
Pb1 Pb 0.500 0.500 0.500
```

=====

## ZnSb2Os (PBE)

Data for a relaxed structure of ZnSb2Os.

Values from the calculation:
Density in g/cm3: 9.359
Size of the total moment in μB/f.u.: 0.0
Formation energy (no corrections) in meV/atom: 301
Crystal system: monoclinic

The structure in CIF format:
```
data_ZnSb2Os
_cell_length_a 4.617
_cell_length_b 4.617
_cell_length_c 6.413
_cell_angle_alpha 75.15
_cell_angle_beta 75.15
_cell_angle_gamma 42.37
_space_group_name_H-M_alt 'P 1'
_space_group_IT_number 1
loop_
_space_group_symop_operation_xyz
'x,y,z'
loop_
_atom_site_label
_atom_site_type_symbol
_atom_site_fract_x
_atom_site_fract_y
_atom_site_fract_z
Sb1 Sb 0.745 0.745 0.655
Sb2 Sb 0.995 0.995 0.085
Zn1 Zn 0.510 0.510 0.446
Os1 Os 0.250 0.250 0.314
```

=====

## KVAu2Cl (PBE)

Data for a relaxed structure of KVAu2Cl.

Values from the calculation:
Density in g/cm3: 6.454
Size of the total moment in μB/f.u.: 3.0
Formation energy (no corrections) in meV/atom: -225
Crystal system: tetragonal

The structure in CIF format:
```
data_KVAu2Cl
_cell_length_a 5.286
_cell_length_b 4.783
_cell_length_c 5.286
_cell_angle_alpha 90.00
_cell_angle_beta 90.00
_cell_angle_gamma 90.00
_space_group_name_H-M_alt 'P 1'
_space_group_IT_number 1
loop_
_space_group_symop_operation_xyz
'x,y,z'
loop_
_atom_site_label
_atom_site_type_symbol
_atom_site_fract_x
_atom_site_fract_y
_atom_site_fract_z
V1 V 0.000 0.000 0.000
Au1 Au 0.000 0.000 0.500
Au2 Au 0.500 0.000 0.000
K1 K 0.500 0.500 0.500
Cl1 Cl 0.000 0.500 0.000
```

=====

## FeAs (PBE)

Data for a relaxed structure of FeAs.

Values from the calculation:
Formation energy from the elements in eV per atom: 0.2607
Density in g/cm3: 7.649
Size of the total moment in μB/f.u.: 2.2
Crystal system: tetragonal

The structure in CIF format:
```
data_FeAs
_cell_length_a 4.785
_cell_length_b 4.785
_cell_length_c 4.785
_cell_angle_alpha 133.42
_cell_angle_beta 133.42
_cell_angle_gamma 67.99
_space_group_name_H-M_alt 'P 1'
_space_group_IT_number 1
loop_
_space_group_symop_operation_xyz
'x,y,z'
loop_
_atom_site_label
_atom_site_type_symbol
_atom_site_fract_x
_atom_site_fract_y
_atom_site_fract_z
As1 As 0.000 0.000 0.000
As2 As 0.250 0.750 0.500
Fe1 Fe 0.750 0.250 0.500
Fe2 Fe 0.500 0.500 0.000
```

=====

## AcTcPbO6 (PBE)

Data for a relaxed structure of AcTcPbO6.

Values from the calculation:
Density in g/cm3: 7.169
Size of the total moment in μB/f.u.: 0.0
Formation energy (no corrections) in meV/atom: -1836
Crystal system: trigonal

The structure in CIF format:
```
data_AcTcPbO6
_cell_length_a 5.719
_cell_length_b 5.719
_cell_length_c 5.138
_cell_angle_alpha 90.00
_cell_angle_beta 90.00
_cell_angle_gamma 60.00
_space_group_name_H-M_alt 'P 1'
_space_group_IT_number 1
loop_
_space_group_symop_operation_xyz
'x,y,z'
loop_
_atom_site_label
_atom_site_type_symbol
_atom_site_fract_x
_atom_site_fract_y
_atom_site_fract_z
O1 O 0.613 0.328 0.713
O2 O 0.614 0.058 0.287
O3 O 0.328 0.614 0.287
O4 O 0.328 0.058 0.713
O5 O 0.058 0.328 0.287
O6 O 0.058 0.614 0.713
Pb1 Pb 0.667 0.667 0.500
Tc1 Tc 0.333 0.333 0.500
Ac1 Ac 0.000 0.000 0.000
```

=====

## Ac2Cd9In (PBE)

Data for a relaxed structure of Ac2Cd9In.

Values from the calculation:
Formation energy from the elements in eV per atom: -0.1224
Density in g/cm3: 7.974
Size of the total moment in μB/f.u.: 0.0
Crystal system: trigonal

The structure in CIF format:
```
data_Ac2Cd9In
_cell_length_a 6.318
_cell_length_b 6.318
_cell_length_c 10.197
_cell_angle_alpha 71.95
_cell_angle_beta 71.95
_cell_angle_gamma 60.00
_space_group_name_H-M_alt 'P 1'
_space_group_IT_number 1
loop_
_space_group_symop_operation_xyz
'x,y,z'
loop_
_atom_site_label
_atom_site_type_symbol
_atom_site_fract_x
_atom_site_fract_y
_atom_site_fract_z
Cd1 Cd 0.925 0.412 0.251
Cd2 Cd 0.665 0.665 0.006
Cd3 Cd 0.588 0.588 0.749
Cd4 Cd 0.500 0.500 0.500
Cd5 Cd 0.412 0.412 0.251
Cd6 Cd 0.588 0.075 0.749
Cd7 Cd 0.075 0.588 0.749
Cd8 Cd 0.412 0.925 0.251
Cd9 Cd 0.335 0.335 0.994
Ac1 Ac 0.862 0.862 0.414
Ac2 Ac 0.138 0.138 0.586
In1 In 0.000 0.000 0.000
```

=====

## LiScIr2 (PBE)

Data for a relaxed structure of LiScIr2.

Values from the calculation:
Formation energy from the elements in eV per atom: -0.3878
Density in g/cm3: 12.008
Size of the total moment in μB/f.u.: 0.0
Crystal system: orthorhombic

The structure in CIF format:
```
data_LiScIr2
_cell_length_a 4.588
_cell_length_b 3.022
_cell_length_c 4.352
_cell_angle_alpha 90.01
_cell_angle_beta 90.00
_cell_angle_gamma 90.00
_space_group_name_H-M_alt 'P 1'
_space_group_IT_number 1
loop_
_space_group_symop_operation_xyz
'x,y,z'
loop_
_atom_site_label
_atom_site_type_symbol
_atom_site_fract_x
_atom_site_fract_y
_atom_site_fract_z
Ir1 Ir 0.500 0.375 0.169
Ir2 Ir 0.000 0.875 0.090
Li1 Li 0.000 0.375 0.576
Sc1 Sc 0.500 0.875 0.665
```

=====

## Ba3TlRh3 (PBE)

Data for a relaxed structure of Ba3TlRh3.

Values from the calculation:
Formation energy from the elements in eV per atom: -0.2252
Density in g/cm3: 7.705
Size of the total moment in μB/f.u.: 0.0
Crystal system: orthorhombic

The structure in CIF format:
```
data_Ba3TlRh3
_cell_length_a 4.664
_cell_length_b 6.279
_cell_length_c 14.664
_cell_angle_alpha 90.00
_cell_angle_beta 90.00
_cell_angle_gamma 111.80
_space_group_name_H-M_alt 'P 1'
_space_group_IT_number 1
loop_
_space_group_symop_operation_xyz
'x,y,z'
loop_
_atom_site_label
_atom_site_type_symbol
_atom_site_fract_x
_atom_site_fract_y
_atom_site_fract_z
Rh1 Rh 0.926 0.853 0.591
Rh2 Rh 0.184 0.369 0.250
Rh3 Rh 0.926 0.853 0.909
Rh4 Rh 0.074 0.147 0.409
Rh5 Rh 0.074 0.147 0.091
Rh6 Rh 0.816 0.631 0.750
Ba1 Ba 0.215 0.430 0.892
Ba2 Ba 0.501 0.002 0.250
Ba3 Ba 0.785 0.570 0.108
Ba4 Ba 0.499 0.998 0.750
Ba5 Ba 0.215 0.430 0.608
Ba6 Ba 0.785 0.570 0.392
Tl1 Tl 0.500 0.000 0.000
Tl2 Tl 0.500 0.000 0.500
```

=====

## Pr3ZrH (PBE)

Data for a relaxed structure of Pr3ZrH.

Values from the calculation:
Density in g/cm3: 6.560
E in Ry/atom: -0.38737
Size of the total moment in μB/f.u.: 0.0
Crystal system: cubic

The structure in CIF format:
```
data_Pr3ZrH
_cell_length_a 5.070
_cell_length_b 5.070
_cell_length_c 5.070
_cell_angle_alpha 90.00
_cell_angle_beta 90.00
_cell_angle_gamma 90.00
_space_group_name_H-M_alt 'P 1'
_space_group_IT_number 1
loop_
_space_group_symop_operation_xyz
'x,y,z'
loop_
_atom_site_label
_atom_site_type_symbol
_atom_site_fract_x
_atom_site_fract_y
_atom_site_fract_z
Pr1 Pr 0.500 0.000 0.000
Pr2 Pr 0.000 0.500 0.000
Pr3 Pr 0.000 0.000 0.500
H1 H 0.000 0.000 0.000
Zr1 Zr 0.500 0.500 0.500
```

=====

## BaPd3N (PBE)

Data for a relaxed structure of BaPd3N.

Values from the calculation:
Density in g/cm3: 8.759
Size of the total moment in μB/f.u.: 0.0
Polymorph energy (0 for the lowest one) in eV/atom: 0.000
Formation energy (no corrections) in meV/atom: 47
Crystal system: cubic

The structure in CIF format:
```
data_BaPd3N
_cell_length_a 4.468
_cell_length_b 4.468
_cell_length_c 4.468
_cell_angle_alpha 90.00
_cell_angle_beta 90.00
_cell_angle_gamma 90.00
_space_group_name_H-M_alt 'P 1'
_space_group_IT_number 1
loop_
_space_group_symop_operation_xyz
'x,y,z'
loop_
_atom_site_label
_atom_site_type_symbol
_atom_site_fract_x
_atom_site_fract_y
_atom_site_fract_z
Pd1 Pd 0.000 0.500 0.000
Pd2 Pd 0.000 0.000 0.500
Pd3 Pd 0.500 0.000 0.000
N1 N 0.000 0.000 0.000
Ba1 Ba 0.500 0.500 0.500
```